VASP calculation (PBE) on a relaxed YHoZnNi2 crystal.

Lattice parameters (Å, degrees): 4.2356 5.3810 8.0624 90.00 90.00 90.00
Space group Imm2 (No. 44)
Unique sites:
Y 0.0000 0.0000 0.0000
Ho 0.0000 0.0000 0.5925
Zn 0.0000 0.5000 0.7965
Ni 0.0000 0.2714 0.2968

## Properties
Size of the total moment, μB per formula unit: 0.0
Calculated total energy, eV/atom: -5.16
Energy of formation, eV per atom: -0.4735